Entry 1:
Computed, not measured: a relaxed PmZn6Cd2 crystal at the PBE level of DFT.

extended XYZ file:
```
9
Lattice="-1.7619 0.1861 2.7015 -6.5595 -1.6772 -4.1625 4.2868 -5.8777 3.2006" Properties=species:S:1:pos:R:3 pbc="T T T"
Zn -1.6503 -2.4644 1.0251
Zn 1.9547 -3.7950 3.4679
Cd -4.7060 -2.8913 0.9933
Zn -2.3843 -4.9044 0.7145
Cd 0.6713 -4.4775 0.7462
Zn 0.5702 -1.8966 2.4342
Pm 4.2868 -5.8777 3.2006
Zn -0.9332 -6.8941 1.7979
Zn -3.1014 -0.4747 -0.0583
```

---

Entry 2:
Computed, not measured: a relaxed PmZnCd4 crystal at the PBE level of DFT.

extended XYZ file:
```
6
Lattice="-3.4764 4.7404 -0.2819 -4.1032 0.3943 -4.2004 -5.6985 -0.4424 1.4023" Properties=species:S:1:pos:R:3 pbc="T T T"
Pm -3.3195 1.1731 -0.7700
Cd -8.2957 2.9316 -1.9243
Zn 0.0000 0.0000 0.0000
Cd -5.4518 3.1524 -2.6241
Cd -6.5608 0.5659 -1.7836
Cd -6.2479 2.7348 0.1720
```

## Properties
Polymorph energy (0 for the lowest one): 18.3 kJ/mol of atoms

---

Entry 3:
Computed, not measured: a relaxed Pm3Zn2Cd4 crystal at the PBE level of DFT.

extended XYZ file:
```
9
Lattice="4.9181 0.0000 0.0000 -2.4590 5.4550 -0.6503 0.0000 -3.3223 8.5404" Properties=species:S:1:pos:R:3 pbc="T T T"
Cd 0.0000 -0.0566 7.6738
Zn 0.0000 1.8771 5.6692
Pm 2.4590 -0.3781 5.4389
Cd 0.0000 -0.6651 3.2056
Cd 2.4590 2.1893 0.2164
Cd 2.4590 2.7978 4.6846
Pm 0.0000 0.0000 0.0000
Pm 0.0000 2.5108 2.4513
Zn 2.4590 0.2557 2.2209
```

---

Entry 4:
Computed, not measured: a relaxed PmZnCd5 crystal at the PBE level of DFT.

extended XYZ file:
```
7
Lattice="4.7568 0.0000 0.0000 0.0000 4.7568 0.0000 0.0000 0.0000 7.3592" Properties=species:S:1:pos:R:3 pbc="T T T"
Pm 0.0000 0.0000 0.0000
Cd 0.0000 2.3784 5.1827
Cd 0.0000 2.3784 2.1765
Cd 2.3784 2.3784 0.0000
Zn 0.0000 0.0000 3.6796
Cd 2.3784 0.0000 2.1765
Cd 2.3784 0.0000 5.1827
```

---

Formation energy readings, ordered: -0.031; -0.017; -0.325; -0.181 eV/atom